Record 1
Density functional theory data (PBE) for a relaxed YTaAsO crystal.

V   133.21 Å³ per cell
Raw total energy   -61.970 eV/cell

extended XYZ file:
```
8
Lattice="-0.679 2.204 3.416 -4.037 -0.776 -0.302 0.916 -6.458 4.349" Properties=species:S:1:pos:R:3 pbc="T T T"
Ta -0.242 0.411 2.174
Ta -1.200 -6.155 3.733
As 0.353 -3.777 4.994
As -1.795 -1.967 0.912
O -2.358 0.714 1.557
O 0.000 0.000 0.000
Y 0.458 -3.229 2.175
Y -1.900 -2.515 3.732
```



Record 2
Density functional theory data (PBE) for a relaxed NbAuSeO crystal.

V   145.50 Å³ per cell
Raw total energy   -50.481 eV/cell

extended XYZ file:
```
8
Lattice="-2.949 -0.308 -2.012 2.035 -0.556 -2.897 -0.201 -11.151 2.000" Properties=species:S:1:pos:R:3 pbc="T T T"
O -1.703 -0.370 -2.233
O 0.789 -0.494 -2.676
Au 0.688 -6.070 -1.676
Au -1.804 -5.945 -1.234
Nb -0.250 -1.405 -1.014
Nb -0.865 -10.610 -1.895
Se -0.732 -3.191 -3.226
Se -0.384 -8.824 0.316
```



Record 3
Density functional theory data (PBE) for a relaxed BeZnFeGe crystal.

V   47.55 Å³ per cell
Raw total energy   -16.910 eV/cell

extended XYZ file:
```
4
Lattice="-2.662 2.632 1.588 -0.091 3.846 -1.319 -3.139 1.311 -2.228" Properties=species:S:1:pos:R:3 pbc="T T T"
Be -1.473 1.947 -0.490
Zn -2.946 3.894 -0.980
Ge 0.000 0.000 0.000
Fe -4.419 5.842 -1.469
```



Record 4
Density functional theory data (PBE) for a relaxed NaHg5 crystal.

V   179.53 Å³ per cell
Raw total energy   -3.160 eV/cell

extended XYZ file:
```
6
Lattice="-2.291 2.220 -5.257 5.510 -2.730 0.042 -2.387 -4.833 -1.000" Properties=species:S:1:pos:R:3 pbc="T T T"
Hg -2.339 -1.306 -3.129
Hg 1.561 -3.782 -0.479
Hg 2.909 -1.080 -1.724
Hg 0.416 -2.672 -3.108
Hg 0.309 0.570 -3.491
Na 0.000 0.000 0.000
```



Record 5
Density functional theory data (PBE) for a relaxed NaZr crystal.

V   256.22 Å³ per cell
Raw total energy   -43.877 eV/cell

extended XYZ file:
```
10
Lattice="-0.873 -1.415 5.594 1.573 -8.731 1.081 4.988 1.027 1.038" Properties=species:S:1:pos:R:3 pbc="T T T"
Zr 3.389 -9.004 5.637
Zr 3.517 -6.853 2.890
Zr 0.851 -5.682 1.533
Zr 2.697 -6.241 6.227
Zr 0.678 -9.890 6.530
Na 0.758 -7.797 4.073
Na 2.694 -3.634 3.663
Na -0.027 -2.254 2.362
Na -0.046 -4.632 4.803
Na 2.742 -1.380 1.198
```



Record 6
Density functional theory data (PBE) for a relaxed LiLaFeW crystal.

V   66.32 Å³ per cell
Raw total energy   -24.025 eV/cell

extended XYZ file:
```
4
Lattice="-1.296 -3.413 -2.704 -4.098 0.085 -1.961 -0.361 0.663 -4.480" Properties=species:S:1:pos:R:3 pbc="T T T"
Fe -2.877 -1.333 -4.573
La -1.439 -0.666 -2.286
W 0.000 0.000 0.000
Li -4.316 -1.999 -6.859
```



Record 7
Density functional theory data (PBE) for a relaxed Gd2ErTm3OsS2 crystal.

V   208.44 Å³ per cell
Raw total energy   -54.147 eV/cell

extended XYZ file:
```
9
Lattice="-2.813 2.791 -0.087 -5.391 -5.482 -1.556 1.759 2.002 7.378" Properties=species:S:1:pos:R:3 pbc="T T T"
Tm -6.348 -3.576 0.246
Tm -0.997 2.025 6.931
Tm -4.139 -1.223 4.337
S -2.013 0.921 4.375
S -4.430 -1.608 1.357
Os -0.043 -0.041 0.068
Gd -4.349 -4.297 2.792
Gd -1.419 -1.229 6.454
Er -1.455 -1.394 2.332
```



Record 8
Density functional theory data (PBE) for a relaxed DyGa2Co3 crystal.

V   265.97 Å³ per cell
Raw total energy   -102.688 eV/cell

extended XYZ file:
```
18
Lattice="-2.594 1.860 8.354 -4.580 -5.922 -4.892 2.239 -2.826 1.324" Properties=species:S:1:pos:R:3 pbc="T T T"
Co -1.786 -0.403 2.160
Co -3.587 -2.031 1.731
Co -5.388 -3.659 1.302
Co -4.217 -4.499 -2.470
Co -5.025 -2.237 3.723
Co -1.297 0.930 4.177
Co -2.957 0.437 5.932
Co -2.149 -1.825 -0.261
Co -2.290 -2.961 -2.446
Dy 0.000 0.000 0.000
Dy -2.799 -4.740 0.186
Dy -2.137 -2.147 4.600
Ga -0.654 -0.141 6.374
Ga -1.150 -2.698 1.757
Ga 0.299 -0.825 3.304
Ga -3.785 -4.190 3.029
Ga -2.012 -5.461 -2.683
Ga -0.329 -3.286 -0.885
```



Record 9
Density functional theory data (PBE) for a relaxed ZnTe2Pd crystal.

V   228.20 Å³ per cell
Raw total energy   -27.435 eV/cell

extended XYZ file:
```
8
Lattice="-3.062 3.062 6.086 3.062 -3.062 6.086 3.062 3.062 -6.086" Properties=species:S:1:pos:R:3 pbc="T T T"
Te 1.492 4.592 1.522
Te 1.531 1.570 4.565
Te 1.531 1.492 -1.522
Te 1.570 -1.531 7.608
Zn 0.000 0.000 6.086
Zn 3.062 0.000 3.043
Pd 0.000 0.000 0.000
Pd 0.000 3.062 3.043
```



Record 10
Density functional theory data (PBE) for a relaxed AlCoTcNi crystal.

V   49.22 Å³ per cell
Raw total energy   -27.136 eV/cell

extended XYZ file:
```
4
Lattice="-1.541 -3.503 1.509 -0.655 -0.386 4.043 -3.844 -0.095 1.461" Properties=species:S:1:pos:R:3 pbc="T T T"
Co -4.530 -2.988 5.260
Ni -3.020 -1.992 3.506
Tc -1.510 -0.996 1.753
Al 0.000 0.000 0.000
```



Record 11
Density functional theory data (PBE) for a relaxed SrPa2O6 crystal.

V   125.02 Å³ per cell
Raw total energy   -77.915 eV/cell

extended XYZ file:
```
9
Lattice="1.701 7.566 4.377 0.013 8.884 -0.612 -3.423 -8.160 -0.997" Properties=species:S:1:pos:R:3 pbc="T T T"
O -1.013 7.005 0.716
O -0.432 3.815 2.631
O -0.168 6.346 3.211
O -1.276 4.474 0.137
O -0.696 1.285 2.052
O -1.540 1.944 -0.442
Sr 0.000 0.000 0.000
Pa 0.576 5.530 1.266
Pa 1.138 10.920 2.500
```



Record 12
Density functional theory data (PBE) for a relaxed BaSm2Te4 crystal.

V   1046.89 Å³ per cell
Raw total energy   -139.227 eV/cell

extended XYZ file:
```
28
Lattice="-2.940 10.386 8.706 -4.220 0.244 -1.716 -5.217 -10.929 11.276" Properties=species:S:1:pos:R:3 pbc="T T T"
Sm -3.385 -3.520 4.793
Sm -8.991 3.220 13.474
Sm -3.265 5.004 5.710
Sm -9.111 -5.303 12.557
Sm -5.892 -0.716 11.357
Sm -6.478 8.702 8.073
Sm -6.484 0.417 6.910
Sm -5.898 -9.001 10.194
Te -8.731 0.227 12.408
Te -4.263 6.453 8.369
Te -4.978 1.563 9.432
Te -1.725 0.105 1.225
Te -3.646 -0.526 5.858
Te -10.096 -3.888 15.179
Te -7.664 2.371 16.152
Te -5.834 3.254 5.713
Te -6.543 -3.553 12.554
Te -10.652 -0.404 17.041
Te -6.303 -4.215 5.805
Te -2.281 3.589 3.088
Te -8.114 -6.753 9.898
Te -4.713 -2.671 2.114
Te -6.074 3.916 12.462
Te -7.399 -1.862 8.835
Ba -7.579 -1.348 15.414
Ba -5.243 -4.728 9.190
Ba -7.134 4.429 9.077
Ba -4.798 1.049 2.853
```



Record 13
Density functional theory data (PBE) for a relaxed Hf2As2Pd crystal.

V   102.40 Å³ per cell
Raw total energy   -36.673 eV/cell

extended XYZ file:
```
5
Lattice="-2.537 2.537 3.976 2.537 -2.537 3.976 2.537 2.537 -3.976" Properties=species:S:1:pos:R:3 pbc="T T T"
Pd 0.000 0.000 0.000
As 0.000 0.000 2.567
As 0.000 0.000 5.386
Hf 2.537 0.000 1.988
Hf 0.000 2.537 1.988
```



Record 14
Density functional theory data (PBE) for a relaxed InCuTe3Pb crystal.

V   351.02 Å³ per cell
Raw total energy   -40.861 eV/cell

extended XYZ file:
```
12
Lattice="-5.318 4.865 1.018 -5.248 4.032 -3.031 -7.947 -9.048 1.726" Properties=species:S:1:pos:R:3 pbc="T T T"
Cu -7.664 2.518 -0.650
Cu -10.849 -2.669 0.363
Te -11.664 5.886 -1.412
Te -8.226 -2.232 0.318
Te -10.287 2.080 -0.605
Te -10.898 -5.275 0.898
Te -6.849 -6.038 1.125
Te -7.615 5.123 -1.185
Pb 0.000 0.000 0.000
Pb -3.973 -4.524 0.863
In -13.973 -0.040 -0.232
In -4.540 -0.112 -0.055
```



Record 15
Density functional theory data (PBE) for a relaxed BMoPt crystal.

V   40.45 Å³ per cell
Raw total energy   -23.223 eV/cell

extended XYZ file:
```
3
Lattice="2.898 -2.414 0.788 0.027 -3.540 -1.521 2.556 -0.901 -2.739" Properties=species:S:1:pos:R:3 pbc="T T T"
B 0.000 0.000 0.000
Pt 4.111 -5.141 -2.604
Mo 1.370 -1.714 -0.868
```



Record 16
Density functional theory data (PBE) for a relaxed Y2Al3Mo4N3 crystal.

V   353.98 Å³ per cell
Raw total energy   -199.965 eV/cell

extended XYZ file:
```
24
Lattice="-3.470 -0.869 4.196 1.957 -0.316 5.145 -1.082 13.637 -1.751" Properties=species:S:1:pos:R:3 pbc="T T T"
Al 0.740 9.870 3.761
Al -0.329 10.008 1.220
Al -1.072 9.439 5.798
Al -2.267 2.443 6.370
Al -3.336 2.581 3.829
Al -1.524 3.013 1.792
Mo -1.209 7.667 -0.045
Mo -1.387 4.785 7.635
Mo 0.170 0.934 0.977
Mo -0.799 0.157 7.229
Mo -2.766 11.518 6.612
Mo -2.265 6.882 6.191
Mo -1.797 12.294 0.361
Mo -0.331 5.570 1.398
N -0.654 13.078 3.897
N -2.276 6.384 1.222
N 0.129 6.458 3.274
N 0.978 -0.158 2.573
N -1.942 -0.626 3.693
N -2.725 5.993 4.315
Y -0.790 4.641 4.479
Y -1.806 7.810 3.111
Y -0.369 1.083 4.143
Y -2.227 11.369 3.447
```



Record 17
Density functional theory data (PBE) for a relaxed LiGdCoSe3 crystal.

V   270.72 Å³ per cell
Raw total energy   -60.822 eV/cell

extended XYZ file:
```
12
Lattice="-4.012 2.708 4.603 -6.310 0.883 2.007 0.593 -9.079 5.858" Properties=species:S:1:pos:R:3 pbc="T T T"
Co -4.920 -4.943 7.829
Co -4.809 -0.546 4.639
Gd 0.297 -4.540 2.929
Gd 0.000 0.000 0.000
Se -6.116 -5.982 9.618
Se -0.778 -1.947 2.058
Se -6.311 -3.004 7.697
Se -8.950 -3.541 10.410
Se -3.418 -2.485 4.771
Se -3.612 0.493 2.850
Li -1.806 -6.026 5.835
Li -7.922 0.537 6.633
```



Record 18
Density functional theory data (PBE) for a relaxed TbTmIn2Pt4 crystal.

V   162.97 Å³ per cell
Raw total energy   -46.563 eV/cell

extended XYZ file:
```
8
Lattice="-3.291 3.148 -0.412 -1.099 -4.426 0.332 -0.387 0.769 8.959" Properties=species:S:1:pos:R:3 pbc="T T T"
Pt -2.692 0.885 2.883
Pt -0.060 0.120 1.395
Pt -0.326 0.649 7.564
Pt -2.815 1.131 5.748
In -1.925 -1.710 2.309
In -2.120 -1.323 6.818
Tm -2.560 0.623 -0.164
Tb -0.193 0.385 4.480
```



Record 19
Density functional theory data (PBE) for a relaxed NaCuNiTe3 crystal.

V   276.21 Å³ per cell
Raw total energy   -43.092 eV/cell

extended XYZ file:
```
12
Lattice="-6.563 1.091 -2.390 5.931 -3.839 -0.236 -3.793 -6.323 7.530" Properties=species:S:1:pos:R:3 pbc="T T T"
Ni -0.316 -1.374 -1.313
Ni -2.212 -4.536 2.452
Te -2.303 -6.455 4.482
Te 0.632 -9.368 6.825
Te -6.759 -2.542 1.459
Te 2.335 -6.530 3.445
Te -2.121 -2.617 0.422
Te -5.057 0.296 -1.921
Cu 2.386 -8.305 5.291
Cu -6.811 -0.766 -0.387
Na -6.088 -4.962 3.830
Na 1.663 -4.110 1.074
```



Record 20
Density functional theory data (PBE) for a relaxed ZrNbPd2 crystal.

V   68.47 Å³ per cell
Formation enthalpy at 0 K   -1.0 eV per formula unit

extended XYZ file:
```
4
Lattice="0.000 3.247 3.247 3.247 0.000 3.247 3.247 3.247 0.000" Properties=species:S:1:pos:R:3 pbc="T T T"
Nb 0.000 0.000 0.000
Pd 1.624 1.624 1.624
Pd 3.247 3.247 3.247
Zr 4.871 4.871 4.871
```